--- P ---
Computed, not measured: a relaxed structure of NdYS at the PBE level of DFT.

Output
The value obtained for the density of states at the Fermi level is 0.53 states/eV per atom. As for the space-group type: R3m, No. 160. The value obtained for the mass density is 5.3 g/cm³. As for the total magnetization: 0.00 μB/f.u.

a = 3.893 Å, b = 3.893 Å, c = 19.108 Å
α = 90.00°, β = 90.00°, γ = 120.00°
Atoms (fractional coordinates):
Nd 0.000 0.000 0.000
Nd 0.333 0.667 0.667
Nd 0.667 0.333 0.333
Y 0.000 0.000 0.497
Y 0.333 0.667 0.163
Y 0.667 0.333 0.830
S 0.000 0.000 0.243
S 0.333 0.667 0.910
S 0.667 0.333 0.576

---

--- Q ---
Computed, not measured: a relaxed structure of NdYS at the PBE level of DFT.

Output
The value obtained for the density of states at the Fermi level is 0.38 states/eV per atom. As for the space-group type: P3m1, No. 156. The value obtained for the mass density is 5.3 g/cm³. As for the total magnetization: 0.03 μB/f.u.

a = 3.864 Å, b = 3.864 Å, c = 6.480 Å
α = 90.00°, β = 90.00°, γ = 120.00°
Atoms (fractional coordinates):
Nd 0.000 0.000 0.000
Y 0.667 0.333 0.480
S 0.333 0.667 0.726

---

Q: Which of them is the most stable? A: P.

---

--- P ---
Computed, not measured: a relaxed structure of NdY2S4 at the PBE level of DFT.

Output
The value obtained for the density of states at the Fermi level is 0.32 states/eV per atom. As for the space-group type: Pnma, No. 62. The value obtained for the mass density is 4.5 g/cm³. As for the total magnetization: 0.00 μB/f.u.

a = 12.006 Å, b = 3.891 Å, c = 14.161 Å
α = 90.00°, β = 90.00°, γ = 90.00°
Atoms (fractional coordinates):
Nd 0.250 0.250 0.168
Nd 0.250 0.750 0.668
Nd 0.750 0.250 0.332
Nd 0.750 0.750 0.832
Y 0.064 0.250 0.388
Y 0.093 0.250 0.905
Y 0.407 0.750 0.405
Y 0.436 0.750 0.888
Y 0.564 0.250 0.112
Y 0.593 0.250 0.595
Y 0.907 0.750 0.095
Y 0.936 0.750 0.612
S 0.040 0.750 0.783
S 0.096 0.250 0.578
S 0.130 0.750 0.041
S 0.201 0.750 0.316
S 0.299 0.250 0.816
S 0.370 0.250 0.541
S 0.404 0.750 0.078
S 0.460 0.250 0.283
S 0.540 0.750 0.717
S 0.596 0.250 0.922
S 0.630 0.750 0.459
S 0.701 0.750 0.184
S 0.799 0.250 0.684
S 0.870 0.250 0.959
S 0.904 0.750 0.422
S 0.960 0.250 0.217

---

--- Q ---
Computed, not measured: a relaxed structure of NdY2S4 at the PBE level of DFT.

Output
The value obtained for the density of states at the Fermi level is 0.23 states/eV per atom. As for the space-group type: Cmcm, No. 63. The value obtained for the mass density is 4.5 g/cm³. As for the total magnetization: 0.00 μB/f.u.

a = 6.789 Å, b = 6.789 Å, c = 13.239 Å
α = 90.00°, β = 90.00°, γ = 146.84°
Atoms (fractional coordinates):
Nd 0.124 0.876 0.750
Nd 0.876 0.124 0.250
Y 0.370 0.630 0.568
Y 0.370 0.630 0.932
Y 0.630 0.370 0.068
Y 0.630 0.370 0.432
S 0.000 0.000 0.000
S 0.000 0.000 0.500
S 0.274 0.726 0.120
S 0.274 0.726 0.380
S 0.464 0.536 0.750
S 0.536 0.464 0.250
S 0.726 0.274 0.620
S 0.726 0.274 0.880

---

Q: Which of them is the most stable? A: Q.

---

--- P ---
Computed, not measured: a relaxed structure of Nd2YS4 at the PBE level of DFT.

Output
The value obtained for the density of states at the Fermi level is 0.28 states/eV per atom. As for the space-group type: Imma, No. 74. The value obtained for the mass density is 4.6 g/cm³. As for the total magnetization: 0.00 μB/f.u.

a = 7.995 Å, b = 7.995 Å, c = 7.995 Å
α = 119.92°, β = 118.90°, γ = 91.03°
Atoms (fractional coordinates):
Nd 0.000 0.000 0.000
Nd 0.500 0.000 0.000
Nd 0.500 0.000 0.500
Nd 0.500 0.500 0.500
Y 0.000 0.000 0.500
Y 0.000 0.500 0.000
S 0.238 0.746 0.492
S 0.246 0.241 0.495
S 0.246 0.254 0.992
S 0.246 0.751 0.005
S 0.754 0.249 0.995
S 0.754 0.746 0.008
S 0.754 0.759 0.505
S 0.762 0.254 0.508

---

--- Q ---
Computed, not measured: a relaxed structure of Nd2YS4 at the PBE level of DFT.

Output
The value obtained for the density of states at the Fermi level is 0.27 states/eV per atom. As for the space-group type: Cmcm, No. 63. The value obtained for the mass density is 4.8 g/cm³. As for the total magnetization: 0.00 μB/f.u.

a = 7.002 Å, b = 7.002 Å, c = 13.435 Å
α = 90.00°, β = 90.00°, γ = 147.84°
Atoms (fractional coordinates):
Nd 0.129 0.871 0.572
Nd 0.129 0.871 0.928
Nd 0.871 0.129 0.072
Nd 0.871 0.129 0.428
Y 0.372 0.628 0.750
Y 0.628 0.372 0.250
S 0.018 0.982 0.750
S 0.220 0.780 0.126
S 0.220 0.780 0.374
S 0.500 0.500 0.000
S 0.500 0.500 0.500
S 0.780 0.220 0.626
S 0.780 0.220 0.874
S 0.982 0.018 0.250

---

Q: Which of them is the most stable? A: P.

---

--- P ---
Computed, not measured: a relaxed structure of NdY6S8 at the PBE level of DFT.

Output
The value obtained for the density of states at the Fermi level is 0.55 states/eV per atom. As for the space-group type: R-3, No. 148. The value obtained for the mass density is 3.3 g/cm³. As for the total magnetization: 0.56 μB/f.u.

a = 7.802 Å, b = 7.802 Å, c = 7.802 Å
α = 96.31°, β = 96.31°, γ = 96.31°
Atoms (fractional coordinates):
Nd 0.000 0.000 0.000
Y 0.188 0.364 0.561
Y 0.364 0.561 0.188
Y 0.439 0.812 0.636
Y 0.561 0.188 0.364
Y 0.636 0.439 0.812
Y 0.812 0.636 0.439
S 0.152 0.669 0.418
S 0.230 0.230 0.230
S 0.331 0.582 0.848
S 0.418 0.152 0.669
S 0.582 0.848 0.331
S 0.669 0.418 0.152
S 0.770 0.770 0.770
S 0.848 0.331 0.582

---

--- Q ---
Computed, not measured: a relaxed structure of NdY6S8 at the PBE level of DFT.

Output
The value obtained for the density of states at the Fermi level is 0.41 states/eV per atom. As for the space-group type: Fm-3m, No. 225. The value obtained for the mass density is 4.6 g/cm³. As for the total magnetization: 0.00 μB/f.u.

a = 7.840 Å, b = 7.840 Å, c = 7.840 Å
α = 60.00°, β = 60.00°, γ = 60.00°
Atoms (fractional coordinates):
Nd 0.000 0.000 0.000
Y 0.000 0.000 0.500
Y 0.000 0.500 0.000
Y 0.000 0.500 0.500
Y 0.500 0.000 0.000
Y 0.500 0.000 0.500
Y 0.500 0.500 0.000
S 0.250 0.250 0.250
S 0.257 0.257 0.743
S 0.257 0.743 0.257
S 0.257 0.743 0.743
S 0.743 0.257 0.257
S 0.743 0.257 0.743
S 0.743 0.743 0.257
S 0.750 0.750 0.750

---

Q: Which of them is the most stable? A: Q.

---

--- P ---
Computed, not measured: a relaxed structure of Nd3YS4 at the PBE level of DFT.

Output
The value obtained for the density of states at the Fermi level is 0.46 states/eV per atom. As for the space-group type: P2/c, No. 13. The value obtained for the mass density is 5.8 g/cm³. As for the total magnetization: 0.00 μB/f.u.

a = 7.024 Å, b = 8.010 Å, c = 6.991 Å
α = 90.00°, β = 109.38°, γ = 90.00°
Atoms (fractional coordinates):
Nd 0.000 0.123 0.250
Nd 0.000 0.374 0.750
Nd 0.000 0.626 0.250
Nd 0.000 0.877 0.750
Nd 0.500 0.124 0.750
Nd 0.500 0.876 0.250
Y 0.500 0.374 0.250
Y 0.500 0.626 0.750
S 0.255 0.130 0.005
S 0.255 0.870 0.505
S 0.260 0.380 0.500
S 0.260 0.620 0.000
S 0.740 0.380 0.000
S 0.740 0.620 0.500
S 0.745 0.130 0.495
S 0.745 0.870 0.995

---

--- Q ---
Computed, not measured: a relaxed structure of Nd3YS4 at the PBE level of DFT.

Output
The value obtained for the density of states at the Fermi level is 0.56 states/eV per atom. As for the space-group type: Pm-3m, No. 221. The value obtained for the mass density is 5.8 g/cm³. As for the total magnetization: 0.00 μB/f.u.

a = 5.708 Å, b = 5.708 Å, c = 5.708 Å
α = 90.00°, β = 90.00°, γ = 90.00°
Atoms (fractional coordinates):
Nd 0.000 0.000 0.500
Nd 0.000 0.500 0.000
Nd 0.500 0.000 0.000
Y 0.500 0.500 0.500
S 0.000 0.000 0.000
S 0.000 0.500 0.500
S 0.500 0.000 0.500
S 0.500 0.500 0.000

---

Q: Which of them is the most stable? A: P.

---

--- P ---
Computed, not measured: a relaxed structure of Nd2ZnS at the PBE level of DFT.

Output
The value obtained for the density of states at the Fermi level is 0.61 states/eV per atom. As for the space-group type: R3m, No. 160. The value obtained for the mass density is 6.1 g/cm³. As for the total magnetization: 0.00 μB/f.u.

a = 3.983 Å, b = 3.983 Å, c = 22.957 Å
α = 90.00°, β = 90.00°, γ = 120.00°
Atoms (fractional coordinates):
Nd 0.000 0.000 0.000
Nd 0.000 0.000 0.187
Nd 0.333 0.667 0.667
Nd 0.333 0.667 0.854
Nd 0.667 0.333 0.333
Nd 0.667 0.333 0.521
Zn 0.000 0.000 0.760
Zn 0.333 0.667 0.427
Zn 0.667 0.333 0.094
S 0.000 0.000 0.592
S 0.333 0.667 0.258
S 0.667 0.333 0.925

---

--- Q ---
Computed, not measured: a relaxed structure of Nd2ZnS at the PBE level of DFT.

Output
The value obtained for the density of states at the Fermi level is 0.66 states/eV per atom. As for the space-group type: Cmcm, No. 63. The value obtained for the mass density is 6.4 g/cm³. As for the total magnetization: 0.00 μB/f.u.

a = 4.006 Å, b = 23.706 Å, c = 4.241 Å
α = 90.00°, β = 90.00°, γ = 90.00°
Atoms (fractional coordinates):
Nd 0.000 0.073 0.250
Nd 0.000 0.312 0.250
Nd 0.000 0.688 0.750
Nd 0.000 0.927 0.750
Nd 0.500 0.188 0.750
Nd 0.500 0.427 0.750
Nd 0.500 0.573 0.250
Nd 0.500 0.812 0.250
Zn 0.000 0.464 0.250
Zn 0.000 0.536 0.750
Zn 0.500 0.036 0.750
Zn 0.500 0.964 0.250
S 0.000 0.193 0.250
S 0.000 0.807 0.750
S 0.500 0.307 0.750
S 0.500 0.693 0.250

---

--- R ---
Computed, not measured: a relaxed structure of Nd2ZnS at the PBE level of DFT.

Output
The value obtained for the density of states at the Fermi level is 0.97 states/eV per atom. As for the space-group type: R-3m, No. 166. The value obtained for the mass density is 5.2 g/cm³. As for the total magnetization: 0.00 μB/f.u.

a = 3.878 Å, b = 3.878 Å, c = 28.547 Å
α = 90.00°, β = 90.00°, γ = 120.00°
Atoms (fractional coordinates):
Nd 0.000 0.000 0.109
Nd 0.000 0.000 0.891
Nd 0.333 0.667 0.558
Nd 0.333 0.667 0.775
Nd 0.667 0.333 0.225
Nd 0.667 0.333 0.442
Zn 0.000 0.000 0.000
Zn 0.333 0.667 0.667
Zn 0.667 0.333 0.333
S 0.000 0.000 0.500
S 0.333 0.667 0.167
S 0.667 0.333 0.833

---

Q: Which of them is the most stable? A: Q.

---

--- P ---
Computed, not measured: a relaxed structure of Nd2ZrS5 at the PBE level of DFT.

Output
The value obtained for the density of states at the Fermi level is 0.00 states/eV per atom. As for the space-group type: Cmcm, No. 63. The value obtained for the mass density is 3.8 g/cm³. As for the total magnetization: 0.00 μB/f.u.

a = 7.355 Å, b = 7.355 Å, c = 13.058 Å
α = 90.00°, β = 90.00°, γ = 137.94°
Atoms (fractional coordinates):
Nd 0.144 0.856 0.564
Nd 0.144 0.856 0.936
Nd 0.856 0.144 0.064
Nd 0.856 0.144 0.436
Zr 0.186 0.814 0.250
Zr 0.814 0.186 0.750
S 0.049 0.951 0.124
S 0.049 0.951 0.376
S 0.270 0.730 0.750
S 0.300 0.700 0.088
S 0.300 0.700 0.412
S 0.700 0.300 0.588
S 0.700 0.300 0.912
S 0.730 0.270 0.250
S 0.951 0.049 0.624
S 0.951 0.049 0.876

---

--- Q ---
Computed, not measured: a relaxed structure of Nd2ZrS5 at the PBE level of DFT.

Output
As for the space-group type: Pnma, No. 62. The value obtained for the mass density is 5.2 g/cm³. As for the total magnetization: 0.00 μB/f.u.

a = 11.700 Å, b = 8.011 Å, c = 7.407 Å
α = 90.00°, β = 90.00°, γ = 90.00°
Atoms (fractional coordinates):
Nd 0.177 0.001 0.033
Nd 0.177 0.499 0.033
Nd 0.323 0.501 0.533
Nd 0.323 0.999 0.533
Nd 0.677 0.001 0.467
Nd 0.677 0.499 0.467
Nd 0.823 0.501 0.967
Nd 0.823 0.999 0.967
Zr 0.008 0.750 0.576
Zr 0.492 0.250 0.076
Zr 0.508 0.750 0.924
Zr 0.992 0.250 0.424
S 0.004 0.750 0.944
S 0.087 0.036 0.664
S 0.087 0.464 0.664
S 0.184 0.750 0.341
S 0.207 0.250 0.319
S 0.293 0.750 0.819
S 0.316 0.250 0.841
S 0.413 0.536 0.164
S 0.413 0.964 0.164
S 0.496 0.250 0.444
S 0.504 0.750 0.556
S 0.587 0.036 0.836
S 0.587 0.464 0.836
S 0.684 0.750 0.159
S 0.707 0.250 0.181
S 0.793 0.750 0.681
S 0.816 0.250 0.659
S 0.913 0.536 0.336
S 0.913 0.964 0.336
S 0.996 0.250 0.056

---

Q: Which of them is the most stable? A: Q.

---

--- P ---
Computed, not measured: a relaxed structure of Nd3ScSb2 at the PBE level of DFT.

Output
The value obtained for the density of states at the Fermi level is 1.42 states/eV per atom. As for the space-group type: Immm, No. 71. The value obtained for the mass density is 6.8 g/cm³. As for the total magnetization: 0.03 μB/f.u.

a = 4.387 Å, b = 4.652 Å, c = 17.214 Å
α = 90.00°, β = 90.00°, γ = 90.00°
Atoms (fractional coordinates):
Nd 0.000 0.000 0.000
Nd 0.000 0.500 0.323
Nd 0.000 0.500 0.677
Nd 0.500 0.000 0.177
Nd 0.500 0.000 0.823
Nd 0.500 0.500 0.500
Sc 0.000 0.000 0.500
Sc 0.500 0.500 0.000
Sb 0.000 0.500 0.133
Sb 0.000 0.500 0.867
Sb 0.500 0.000 0.367
Sb 0.500 0.000 0.633

---

--- Q ---
Computed, not measured: a relaxed structure of Nd3ScSb2 at the PBE level of DFT.

Output
The value obtained for the density of states at the Fermi level is 1.14 states/eV per atom. As for the space-group type: Ibam, No. 72. The value obtained for the mass density is 5.9 g/cm³. As for the total magnetization: 0.01 μB/f.u.

a = 8.858 Å, b = 8.858 Å, c = 8.858 Å
α = 132.13°, β = 75.06°, γ = 125.95°
Atoms (fractional coordinates):
Nd 0.043 0.750 0.293
Nd 0.250 0.250 0.000
Nd 0.457 0.750 0.707
Nd 0.543 0.250 0.293
Nd 0.750 0.750 0.000
Nd 0.957 0.250 0.707
Sc 0.000 0.500 0.500
Sc 0.500 0.000 0.500
Sb 0.142 0.189 0.331
Sb 0.358 0.689 0.047
Sb 0.642 0.311 0.953
Sb 0.858 0.811 0.669

---

Q: Which of them is the most stable? A: P.

---

--- P ---
Computed, not measured: a relaxed structure of Nd3SbSe at the PBE level of DFT.

Output
The value obtained for the density of states at the Fermi level is 0.96 states/eV per atom. As for the space-group type: P2_1/m, No. 11. The value obtained for the mass density is 5.9 g/cm³. As for the total magnetization: 0.27 μB/f.u.

a = 7.391 Å, b = 4.342 Å, c = 11.238 Å
α = 90.00°, β = 100.67°, γ = 90.00°
Atoms (fractional coordinates):
Nd 0.188 0.250 0.253
Nd 0.252 0.250 0.916
Nd 0.303 0.750 0.578
Nd 0.697 0.250 0.422
Nd 0.748 0.750 0.084
Nd 0.812 0.750 0.747
Sb 0.039 0.250 0.649
Sb 0.961 0.750 0.351
Se 0.482 0.750 0.847
Se 0.518 0.250 0.153

---

--- Q ---
Computed, not measured: a relaxed structure of Nd3SbSe at the PBE level of DFT.

Output
The value obtained for the density of states at the Fermi level is 0.47 states/eV per atom. As for the space-group type: Pnma, No. 62. The value obtained for the mass density is 7.0 g/cm³. As for the total magnetization: 0.00 μB/f.u.

a = 8.746 Å, b = 4.289 Å, c = 16.046 Å
α = 90.00°, β = 90.00°, γ = 90.00°
Atoms (fractional coordinates):
Nd 0.014 0.250 0.109
Nd 0.154 0.250 0.546
Nd 0.164 0.750 0.287
Nd 0.336 0.250 0.787
Nd 0.346 0.750 0.046
Nd 0.486 0.750 0.609
Nd 0.514 0.250 0.391
Nd 0.654 0.250 0.954
Nd 0.664 0.750 0.213
Nd 0.836 0.250 0.713
Nd 0.846 0.750 0.454
Nd 0.986 0.750 0.891
Sb 0.120 0.750 0.697
Sb 0.380 0.250 0.197
Sb 0.620 0.750 0.803
Sb 0.880 0.250 0.303
Se 0.193 0.250 0.951
Se 0.307 0.750 0.451
Se 0.693 0.250 0.549
Se 0.807 0.750 0.049

---

Q: Which of them is the most stable? A: Q.